## Al2FePb (PBE)

Data for crystalline Al2FePb at its relaxed geometry.

a = 5.9917 Å, b = 5.9917 Å, c = 5.9917 Å
α = 151.91°, β = 131.84°, γ = 56.69°
Atoms (fractional coordinates):
Al  0.9553  0.9553  0.0000
Fe  0.7500  0.2500  0.5000
Al  0.5447  0.5447  0.0000
Pb  0.2500  0.7500  0.5000

Computed properties:
The calculation puts the formation energy at 0.324 eV per atom. For the final energy, the calculation gives -4.5900 eV per atom. For the total moment, the calculation gives 0.545 μB per atom.